VASP calculation (PBE) on a relaxed CaEr2Zr crystal.

E_form   0.1158 eV/atom
VASP energy   -4.803 eV per atom
Energy above the lowest structure with this stoichiometry   0.016 eV/atom
Total moment   0.00 μB/f.u.

```
CaEr2Zr
1.0
3.478 0.000 0.000
-1.739 3.012 0.000
0.000 0.000 34.766
Ca Er Zr
3 6 3
Direct
0.000 0.000 0.000
0.333 0.667 0.667
0.667 0.333 0.333
0.000 0.000 0.574
0.000 0.000 0.758
0.333 0.667 0.241
0.333 0.667 0.425
0.667 0.333 0.092
0.667 0.333 0.907
0.000 0.000 0.166
0.333 0.667 0.833
0.667 0.333 0.499
```